1.
VASP calculation (PBE-GGA) on a geometry-optimized La2PrHo4Tm structure.

Output
Fermi-level density of states = 38.16 states/eV/cell
Symmetry = Imma
ΔE_f = 395 meV/atom

The structure in POSCAR format:
```
La2PrHo4Tm
1.0
-3.407 5.956 6.647
3.407 -5.956 6.647
3.407 5.956 -6.647
La Pr Ho Tm
4 2 8 2
Direct
0.000 0.000 0.000
0.500 0.000 0.000
0.500 0.000 0.500
0.500 0.500 0.500
0.000 0.500 0.500
0.500 0.500 0.000
0.243 0.244 0.501
0.243 0.250 0.993
0.243 0.742 0.999
0.243 0.750 0.493
0.757 0.250 0.507
0.757 0.258 0.001
0.757 0.750 0.007
0.757 0.756 0.499
0.000 0.000 0.500
0.000 0.500 0.000
```

***

2.
VASP calculation (PBE-GGA) on a geometry-optimized PrIn2Hg6 structure.

Output
Fermi-level density of states = 4.55 states/eV/cell
Symmetry = C2/m
ΔE_f = -163 meV/atom

The structure in POSCAR format:
```
PrIn2Hg6
1.0
3.262 -7.887 0.000
3.262 7.887 0.000
-1.820 0.000 4.573
Pr In Hg
1 2 6
Direct
0.000 0.000 0.000
0.160 0.840 0.500
0.840 0.160 0.500
0.163 0.497 0.175
0.355 0.355 0.680
0.497 0.163 0.175
0.503 0.837 0.825
0.645 0.645 0.320
0.837 0.503 0.825
```

***

3.
VASP calculation (PBE-GGA) on a geometry-optimized HfBPtRh2 structure.

Output
Fermi-level density of states = 3.80 states/eV/cell
Symmetry = P4/mmm
ΔE_f = -650 meV/atom

The structure in POSCAR format:
```
HfBPtRh2
1.0
4.158 0.000 0.000
0.000 4.158 0.000
0.000 0.000 4.214
Hf B Pt Rh
1 1 1 2
Direct
0.000 0.000 0.000
0.500 0.500 0.500
0.500 0.500 0.000
0.000 0.500 0.500
0.500 0.000 0.500
```

***

4.
VASP calculation (PBE-GGA) on a geometry-optimized AcZr2Si6 structure.

Output
Fermi-level density of states = 3.53 states/eV/cell
Formation energy without anion corrections = -449 meV/atom
Symmetry = Immm

The structure in POSCAR format:
```
AcZr2Si6
1.0
-1.894 4.012 5.857
1.894 -4.012 5.857
1.894 4.012 -5.857
Ac Zr Si
1 2 6
Direct
0.000 0.000 0.000
0.353 0.853 0.500
0.647 0.147 0.500
0.055 0.313 0.741
0.347 0.500 0.847
0.428 0.687 0.741
0.572 0.313 0.259
0.653 0.500 0.153
0.945 0.687 0.259
```